This record from Alexandria describes a relaxed Fe2GeHW crystal. The functional is GGA-PBE.

a b c (Å): 3.7430 3.7430 3.9833
angles (deg): 90.00 90.00 90.00
Atoms (fractional coordinates):
W (0.0000, 0.0000, 0.5000)
Fe (0.0000, 0.5000, 0.0000)
Ge (0.5000, 0.5000, 0.5000)
H (0.0000, 0.0000, 0.0000)
Fe (0.5000, 0.0000, 0.0000)

Values from the calculation:
electronic total energy = -37.13 eV/cell
ρ = 11.0 g cm⁻³